ReAuS3: relaxed, PBE.

For the offset from the most stable computed form, the calculation gives 1040 meV per atom. The uncorrected formation energy comes out at 1.5968 eV/atom.

It has space group Pm-3m (No. 221), with a = 4.780 Å, b = 4.780 Å, c = 4.780 Å, α = 90.00°, β = 90.00° and γ = 90.00°. The asymmetric unit holds Re at (0.000, 0.000, 0.000), Au at (0.500, 0.500, 0.500) and S at (0.000, 0.500, 0.500).